Record 1
SCAN LiIr3, single point on PBEsol structure; energy relative to the elements = -0.2441 eV/atom; crystal system = orthorhombic; magnetic moment = 0.0 μB/cell; space group = Imm2, No. 44
1.0
2.6652 0.0000 0.0000
0.0000 8.6817 0.0000
0.0000 0.0000 4.6571
Li Ir
2 6
direct
0.0000 0.0000 0.0000
0.5000 0.5000 0.5000
0.0000 0.2405 0.6756
0.0000 0.5000 0.9849
0.0000 0.7595 0.6756
0.5000 0.0000 0.4849
0.5000 0.2595 0.1756
0.5000 0.7405 0.1756

---

Record 2
SCAN LiIr3, single point on PBEsol structure; energy relative to the elements = -0.1327 eV/atom; crystal system = orthorhombic; magnetic moment = 0.0 μB/cell; space group = Cmmm, No. 65
1.0
5.3003 0.0000 0.0000
0.0000 7.6947 0.0000
0.0000 0.0000 2.6447
Li Ir
2 6
direct
0.0000 0.0000 0.0000
0.5000 0.5000 0.0000
0.0000 0.5000 0.0000
0.2500 0.2500 0.5000
0.2500 0.7500 0.5000
0.5000 0.0000 0.0000
0.7500 0.2500 0.5000
0.7500 0.7500 0.5000

---

Record 3
SCAN Li3Ir, single point on PBEsol structure; energy relative to the elements = -0.2044 eV/atom; crystal system = orthorhombic; magnetic moment = 0.0 μB/cell; space group = Pnma, No. 62
1.0
4.5983 0.0000 0.0000
0.0000 8.8177 0.0000
0.0000 0.0000 5.4446
Li Ir
12 4
direct
0.0747 0.2500 0.1506
0.2332 0.5023 0.3971
0.2332 0.9977 0.3971
0.2668 0.0023 0.8971
0.2668 0.4977 0.8971
0.4253 0.7500 0.6506
0.5747 0.2500 0.3494
0.7332 0.5023 0.1029
0.7332 0.9977 0.1029
0.7668 0.0023 0.6029
0.7668 0.4977 0.6029
0.9253 0.7500 0.8494
0.0834 0.2500 0.6686
0.4166 0.7500 0.1686
0.5834 0.2500 0.8314
0.9166 0.7500 0.3314

---

Record 4
SCAN Li3Ir, single point on PBEsol structure; energy relative to the elements = -0.1780 eV/atom; crystal system = orthorhombic; magnetic moment = 0.0 μB/cell; space group = Imm2, No. 44
1.0
2.4910 0.0000 0.0000
0.0000 8.8772 0.0000
0.0000 0.0000 4.8952
Li Ir
6 2
direct
0.0000 0.0000 0.0000
0.0000 0.2412 0.3021
0.0000 0.7588 0.3021
0.5000 0.2588 0.8021
0.5000 0.5000 0.5000
0.5000 0.7412 0.8021
0.0000 0.5000 0.0058
0.5000 0.0000 0.5058

---

Record 5
SCAN LiIr, single point on PBEsol structure; energy relative to the elements = -0.2009 eV/atom; crystal system = orthorhombic; magnetic moment = 0.0 μB/cell; space group = Cmcm, No. 63
1.0
2.6127 0.0000 0.0000
0.0000 9.7616 0.0000
0.0000 0.0000 4.2233
Li Ir
4 4
direct
0.0000 0.0422 0.2500
0.0000 0.9578 0.7500
0.5000 0.4578 0.7500
0.5000 0.5422 0.2500
0.0000 0.2922 0.2500
0.0000 0.7078 0.7500
0.5000 0.2078 0.7500
0.5000 0.7922 0.2500

---

Record 6
SCAN LiIr2, single point on PBEsol structure; energy relative to the elements = -0.2168 eV/atom; crystal system = monoclinic; magnetic moment = 0.0 μB/cell; space group = C2/m, No. 12
1.0
9.6079 0.0000 0.0000
0.0000 2.6690 0.0000
-1.2439 0.0000 6.3968
Li Ir
4 8
direct
0.0114 0.0000 0.3151
0.4886 0.5000 0.6849
0.5114 0.5000 0.3151
0.9886 0.0000 0.6849
0.1346 0.5000 0.0196
0.2246 0.5000 0.6547
0.2754 0.0000 0.3453
0.3654 0.0000 0.9804
0.6346 0.0000 0.0196
0.7246 0.0000 0.6547
0.7754 0.5000 0.3453
0.8654 0.5000 0.9804